No. 1
Ti2TcRh | SCAN | single point on PBEsol structure

raw total energy: -104.44 eV/cell
crystal system: cubic
formation enthalpy at 0 K: -0.8861 eV/atom
M_tot: 0.00 μB/cell

a = 4.3224 Å, b = 4.3224 Å, c = 4.3224 Å
α = 60.00°, β = 60.00°, γ = 60.00°
With the nearest neighbours (Å) after each atom.
Atoms (fractional coordinates):
1 Ti 0.7500 0.7500 0.7500  4 Rh 2.65, 4 Tc 2.65
2 Ti 0.2500 0.2500 0.2500  4 Tc 2.65, 4 Rh 2.65
3 Tc 0.0000 0.0000 0.0000  8 Ti 2.65
4 Rh 0.5000 0.5000 0.5000  8 Ti 2.65



No. 2
TlTcRh | SCAN | single point on PBEsol structure

raw total energy: -139.34 eV/cell
crystal system: trigonal
formation enthalpy at 0 K: 0.6157 eV/atom
M_tot: 1.51 μB/cell

a = 2.7699 Å, b = 4.5093 Å, c = 4.5093 Å
α = 120.00°, β = 90.00°, γ = 90.00°
With the nearest neighbours (Å) after each atom.
Atoms (fractional coordinates):
1 Rh 0.1582 0.0000 0.0000  3 Tl 2.60, 2 Rh 2.77
2 Tl 0.1773 0.6667 0.3333  3 Rh 2.60, 2 Tl 2.77
3 Tc 0.6645 0.3333 0.6667  2 Tc 2.77, 6 Tl 2.93-2.97, 6 Rh 2.94-2.96



No. 3
Tc2RhW | SCAN | single point on PBEsol structure

energy relative to the lowest polymorph listed for this composition: 33.27 kJ/mol of atoms
raw total energy: -172.49 eV/cell
crystal system: cubic
formation enthalpy at 0 K: 0.2729 eV/atom
M_tot: 1.75 μB/cell

a = 4.3414 Å, b = 4.3414 Å, c = 4.3414 Å
α = 60.00°, β = 60.00°, γ = 60.00°
With the nearest neighbours (Å) after each atom.
Atoms (fractional coordinates):
1 W 0.2500 0.2500 0.2500  4 Tc 2.66, 4 Rh 2.66
2 Tc 0.0000 0.0000 0.0000  4 W 2.66, 4 Tc 2.66
3 Tc 0.7500 0.7500 0.7500  4 Tc 2.66, 4 Rh 2.66
4 Rh 0.5000 0.5000 0.5000  4 W 2.66, 4 Tc 2.66